Record 1
Here is MgBrCl after structural relaxation from the Alexandria database. Energies are from PBE-GGA.

Computed properties:
uncorrected energy = -9.90 eV/cell
M_tot = 0.0 μB/cell
calculated volume = 101.8 Å³/cell
excess energy over the best structure of this formula in the dataset = 0.075 eV/atom

a = 3.9396 Å, b = 6.3603 Å, c = 4.0625 Å
α = 90.00°, β = 90.56°, γ = 90.00°
With the nearest neighbours (Å) after each atom.
Space group P2 (No. 3)
One atom of each set of equivalent atoms:
Mg 0.0000 0.0000 0.0000  2 Cl 2.38, 2 Br 2.53
Br 0.0000 0.2374 0.5000  2 Mg 2.53
Cl 0.5000 0.7903 0.0000  2 Mg 2.38


Record 2
Here is ScSnAu after structural relaxation from the Alexandria database. Energies are from PBE-GGA.

Computed properties:
uncorrected energy = -30.57 eV/cell
formation energy = -0.56 eV/atom
M_tot = 0.0 μB/cell
calculated volume = 138.0 Å³/cell

a = 4.4805 Å, b = 5.5769 Å, c = 6.4348 Å
α = 108.84°, β = 90.09°, γ = 113.48°
With the nearest neighbours (Å) after each atom.
Space group P-1 (No. 2)
One atom of each set of equivalent atoms:
Sc 0.1428 0.2825 0.2061  5 Au 2.97-3.16, 4 Sn 3.03-3.23, 1 Sc 3.16
Sn 0.1400 0.2807 0.6765  2 Au 2.75, 1 Sn 2.97, 3 Sc 3.03-3.07
Au 0.4111 0.8236 0.1165  1 Au 2.72, 2 Sn 2.75, 3 Sc 2.97-3.02


Record 3
Here is Tm2Be4Ni5 after structural relaxation from the Alexandria database. Energies are from PBE-GGA.

Computed properties:
uncorrected energy = -229.37 eV/cell
formation energy = -0.42 eV/atom
M_tot = 0.0 μB/cell
calculated volume = 561.8 Å³/cell

a = 5.0897 Å, b = 8.5303 Å, c = 12.9392 Å
α = 90.00°, β = 90.00°, γ = 90.00°
With the nearest neighbours (Å) after each atom.
Space group Fmmm (No. 69)
One atom of each set of equivalent atoms:
Tm 0.0000 0.0000 0.1331  6 Be 2.87-2.93, 10 Ni 2.91-3.07
Be 0.0000 0.1563 0.3707  5 Ni 2.14-2.25
Ni 0.0000 0.0000 0.5000  4 Be 2.14
Ni 0.2500 0.2500 0.0000  4 Be 2.25, 2 Ni 2.48
Ni 0.2500 0.2500 0.2500  4 Be 2.17


Record 4
Here is HoPu2ScSe4 after structural relaxation from the Alexandria database. Energies are from PBE-GGA.

Computed properties:
uncorrected energy = -65.44 eV/cell
M_tot = 12.1 μB/cell
calculated volume = 194.7 Å³/cell

a = 6.9315 Å, b = 3.9929 Å, c = 7.0346 Å
α = 90.00°, β = 90.13°, γ = 90.00°
With the nearest neighbours (Å) after each atom.
Space group P2/m (No. 10)
One atom of each set of equivalent atoms:
Ho 0.0000 0.0000 0.0000  6 Se 2.91-3.00
Pu 0.0000 0.0000 0.5000  6 Se 2.89-2.91
Pu 0.5000 0.5000 0.0000  6 Se 2.89-2.93
Sc 0.5000 0.5000 0.5000  6 Se 2.83-2.88
Se 0.1709 0.5000 0.2504  1 Sc 2.88, 3 Pu 2.89-2.91, 2 Ho 2.91
Se 0.3410 0.0000 0.7378  2 Sc 2.83, 3 Pu 2.89-2.93, 1 Ho 3.00


Record 5
Here is Rb2SrCaH6 after structural relaxation from the Alexandria database. Energies are from PBE-GGA.

Computed properties:
uncorrected energy = -29.43 eV/cell
M_tot = 0.0 μB/cell
calculated volume = 202.0 Å³/cell

a = 4.6621 Å, b = 4.6621 Å, c = 9.2946 Å
α = 90.00°, β = 90.00°, γ = 90.00°
With the nearest neighbours (Å) after each atom.
Space group P4/mmm (No. 123)
One atom of each set of equivalent atoms:
Rb 0.0000 0.0000 0.2389  12 H 3.22-3.36
Sr 0.5000 0.5000 0.5000  6 H 2.33-2.42
Ca 0.5000 0.5000 0.0000  6 H 2.23-2.33
H 0.0000 0.5000 0.0000  2 Ca 2.33
H 0.0000 0.5000 0.5000  2 Sr 2.33
H 0.5000 0.5000 0.2397  1 Ca 2.23, 1 Sr 2.42


Record 6
Here is Tm5TlRh after structural relaxation from the Alexandria database. Energies are from PBE-GGA.

Computed properties:
uncorrected energy = -135.53 eV/cell
formation energy = -0.26 eV/atom
M_tot = 0.0 μB/cell
calculated volume = 758.4 Å³/cell

a = 9.0075 Å, b = 7.3586 Å, c = 11.8794 Å
α = 90.00°, β = 105.60°, γ = 90.00°
With the nearest neighbours (Å) after each atom.
Space group C2/c (No. 15)
One atom of each set of equivalent atoms:
Tm 0.0000 0.0063 0.2500  2 Rh 2.97, 1 Tl 3.00, 2 Tm 3.29
Tm 0.1262 0.3352 0.0687  1 Rh 2.75
Tm 0.2497 0.1677 0.6221  1 Rh 2.63
Tl 0.0000 0.4018 0.7500  5 Tm 3.00-3.32
Rh 0.0000 0.0000 0.0000  4 Tm 2.63-2.75


Record 7
Here is BiTeBr6 after structural relaxation from the Alexandria database. Energies are from PBE-GGA.

Computed properties:
uncorrected energy = -20.35 eV/cell
M_tot = 0.0 μB/cell
calculated volume = 292.8 Å³/cell

a = 6.9066 Å, b = 7.2146 Å, c = 7.5517 Å
α = 64.47°, β = 89.49°, γ = 62.57°
With the nearest neighbours (Å) after each atom.
Space group P-1 (No. 2)
One atom of each set of equivalent atoms:
Bi 0.0000 0.0000 0.0000  6 Br 2.82-2.97
Te 0.5000 0.0000 0.5000  4 Br 2.74-2.77
Br 0.1055 0.5243 0.2374  1 Bi 2.82, 1 Te 3.13
Br 0.2612 0.8188 0.7447  1 Te 2.77, 1 Bi 2.94
Br 0.4299 0.8352 0.2555  1 Te 2.74, 1 Bi 2.97


Record 8
Here is ZrNiW2 after structural relaxation from the Alexandria database. Energies are from PBE-GGA.

Computed properties:
uncorrected energy = -78.86 eV/cell
formation energy = 0.20 eV/atom
M_tot = 0.0 μB/cell
calculated volume = 130.4 Å³/cell
excess energy over the best structure of this formula in the dataset = 0.167 eV/atom

a = 5.4410 Å, b = 9.3453 Å, c = 2.7486 Å
α = 90.00°, β = 111.07°, γ = 90.00°
With the nearest neighbours (Å) after each atom.
Space group C2/m (No. 12)
One atom of each set of equivalent atoms:
Zr 0.0000 0.0000 0.0000  2 Ni 2.72, 2 Zr 2.75, 4 W 2.80
Ni 0.0000 0.5000 0.0000  2 Zr 2.72, 2 Ni 2.75, 4 W 2.80
W 0.2500 0.2500 0.5000  4 W 2.72-2.75, 2 Zr 2.80, 2 Ni 2.80